1.
# MgZr2Ni, optimized geometry, DFT PBE-GGA
# **Offset from the most stable computed form**: 0.0668 eV per atom
# **Calculated formation energy**: -40.5 kJ/mol of formula units
data_MgZr2Ni
_space_group_name_H-M_alt 'P 4/m m m'
_space_group_IT_number 123
_space_group_name_Hall '-P 4 2'
_cell_length_a 3.016
_cell_length_b 3.016
_cell_length_c 8.671
_cell_angle_alpha 90.00
_cell_angle_beta 90.00
_cell_angle_gamma 90.00
loop_
_atom_site_label
_atom_site_type_symbol
_atom_site_fract_x
_atom_site_fract_y
_atom_site_fract_z
Mg1 Mg 0.000 0.000 0.000
Zr1 Zr 0.500 0.500 0.298
Ni1 Ni 0.000 0.000 0.500

---

2.
# MgZr2Ni, optimized geometry, DFT PBE-GGA
# **Offset from the most stable computed form**: 0.0801 eV per atom
# **Calculated formation energy**: -35.3 kJ/mol of formula units
data_MgZr2Ni
_space_group_name_H-M_alt 'P 1 2/m 1'
_space_group_IT_number 10
_cell_length_a 3.287
_cell_length_b 3.288
_cell_length_c 7.147
_cell_angle_alpha 90.00
_cell_angle_beta 91.64
_cell_angle_gamma 90.00
loop_
_space_group_symop_operation_xyz
'x,y,z'
'-x,-y,-z'
'-x,y,-z'
'x,-y,z'
loop_
_atom_site_label
_atom_site_type_symbol
_atom_site_fract_x
_atom_site_fract_y
_atom_site_fract_z
Mg1 Mg 0.000 0.000 0.000
Zr1 Zr 0.483 0.500 0.716
Ni1 Ni 0.000 0.000 0.500

---

3.
# MgZrNi10, optimized geometry, DFT PBE-GGA
# **Calculated formation energy**: -178.2 kJ/mol of formula units
data_MgZrNi10
_space_group_name_H-M_alt 'P m m m'
_space_group_IT_number 47
_cell_length_a 3.975
_cell_length_b 4.748
_cell_length_c 8.175
_cell_angle_alpha 90.00
_cell_angle_beta 90.00
_cell_angle_gamma 90.00
loop_
_space_group_symop_operation_xyz
'x,y,z'
'-x,-y,-z'
'-x,-y,z'
'x,y,-z'
'x,-y,-z'
'-x,y,z'
'-x,y,-z'
'x,-y,z'
loop_
_atom_site_label
_atom_site_type_symbol
_atom_site_fract_x
_atom_site_fract_y
_atom_site_fract_z
Mg1 Mg 0.000 0.000 0.000
Zr1 Zr 0.000 0.500 0.500
Ni1 Ni 0.000 0.000 0.332
Ni2 Ni 0.000 0.500 0.166
Ni3 Ni 0.500 0.000 0.500
Ni4 Ni 0.500 0.252 0.253
Ni5 Ni 0.500 0.500 0.000

---

4.
# Mg2ZrNi, optimized geometry, DFT PBE-GGA
# **Calculated formation energy**: 97.6 kJ/mol of formula units
data_Mg2ZrNi
_space_group_name_H-M_alt 'I -4 2 d'
_space_group_IT_number 122
_space_group_name_Hall 'I -4 2bw'
_cell_length_a 3.865
_cell_length_b 3.865
_cell_length_c 20.922
_cell_angle_alpha 90.00
_cell_angle_beta 90.00
_cell_angle_gamma 90.00
loop_
_atom_site_label
_atom_site_type_symbol
_atom_site_fract_x
_atom_site_fract_y
_atom_site_fract_z
Mg1 Mg 0.238 0.250 0.125
Zr1 Zr 0.000 0.000 0.500
Ni1 Ni 0.000 0.000 0.000

---

| no. | VASP energy (eV per atom) | volume (A^3/atom) |
| --- | --- | --- |
| 1 | -6.223 | 19.7 |
| 2 | -6.210 | 19.3 |
| 3 | -5.817 | 12.9 |
| 4 | -4.127 | 19.5 |